*A*
Compound: Sr2CrMo
Source: Alexandria
Functional: PBE
Structure: optimized geometry

The space group is R-3m (No. 166, hexagonal axes) and the conventional cell measures 3.5197, 3.5197 and 31.8321 Å, with angles of 90.00, 90.00 and 120.00 degrees. The asymmetric unit holds Sr at (0.0000, 0.0000, 0.2441), Cr at (0.0000, 0.0000, 0.0000) and Mo at (0.0000, 0.0000, 0.5000).

The density of states at the Fermi level comes out at 13.89 states/eV per cell.


*B*
Compound: Sr2CrMo
Source: Alexandria
Functional: PBE
Structure: optimized geometry

The space group is Fm-3m (No. 225) and the conventional cell measures 7.403, 7.403 and 7.403 Å, with angles of 90.00, 90.00 and 90.00 degrees. The asymmetric unit holds Sr at (0.250, 0.250, 0.250), Cr at (0.000, 0.000, 0.000) and Mo at (0.000, 0.000, 0.500).

The density of states at the Fermi level comes out at 69.07 states/eV per cell.


The structure with the most favorable energy is *A*; the runner-up is 481 meV per atom above it.